Here is crystalline Tc2As at its relaxed geometry from Alexandria. Energies are from PBE.

Calculated values
The value obtained for the density of states at the Fermi level is 2.60 states/eV/f.u. The final energy is -7.994 eV per atom. Its energy above the most stable polymorph in this dataset is 0.604 eV/atom. The formation enthalpy at 0 K is 0.4661 eV/atom. The size of the total moment comes out at 0.00 μB/cell.

The structure in POSCAR format:
```
Tc2As
1.0
5.098 0.000 0.000
-2.549 4.415 0.000
0.000 0.000 8.611
Tc As
8 4
Cartesian
0.000 1.541 6.458
1.214 3.644 6.458
0.000 0.000 0.000
1.334 0.770 2.153
0.000 0.000 4.305
2.549 2.874 2.153
-1.214 3.644 6.458
3.763 0.770 2.153
2.549 1.472 4.971
2.549 1.472 7.945
0.000 2.943 3.640
0.000 2.943 0.665
```